# 1
Computed, not measured: a relaxed AcLa2HoSb4 crystal at the PBE-GGA level of DFT.

Structure (CIF):
```
data_AcLa2HoSb4
_cell_length_a 7.982
_cell_length_b 4.618
_cell_length_c 7.986
_cell_angle_alpha 90.00
_cell_angle_beta 109.46
_cell_angle_gamma 90.00
_space_group_name_H-M_alt 'P 1 2/m 1'
_space_group_IT_number 10
_space_group_name_Hall '-P 2y'
loop_
_atom_site_label
_atom_site_type_symbol
_atom_site_fract_x
_atom_site_fract_y
_atom_site_fract_z
Ac1 Ac 0.000 0.000 0.000
La1 La 0.500 0.000 0.500
La2 La 0.500 0.500 0.000
Ho1 Ho 0.000 0.500 0.500
Sb1 Sb 0.244 0.000 0.737
Sb2 Sb 0.252 0.500 0.262
```

Calculated values
- Density of states at the Fermi level: 0.85 states/eV/f.u.
- Raw formation energy: -1.19 eV per atom

=====

# 2
Computed, not measured: a relaxed Ti4ZnS8 crystal at the PBE-GGA level of DFT.

Structure (CIF):
```
data_Ti4ZnS8
_cell_length_a 10.020
_cell_length_b 10.020
_cell_length_c 10.020
_cell_angle_alpha 90.00
_cell_angle_beta 90.00
_cell_angle_gamma 90.00
_space_group_name_H-M_alt 'F -4 3 m'
_space_group_IT_number 216
_space_group_name_Hall 'F -4 2 3'
loop_
_atom_site_label
_atom_site_type_symbol
_atom_site_fract_x
_atom_site_fract_y
_atom_site_fract_z
Ti1 Ti 0.117 0.117 0.383
Zn1 Zn 0.000 0.000 0.000
S1 S 0.122 0.122 0.622
S2 S 0.133 0.133 0.133
```

Calculated values
- Density of states at the Fermi level: 7.55 states/eV/f.u.
- Raw formation energy: -1.25 eV per atom

=====

# 3
Computed, not measured: a relaxed Zn2Ag3 crystal at the PBE-GGA level of DFT.

Structure (CIF):
```
data_Zn2Ag3
_cell_length_a 2.974
_cell_length_b 3.749
_cell_length_c 14.860
_cell_angle_alpha 90.00
_cell_angle_beta 90.00
_cell_angle_gamma 90.00
_space_group_name_H-M_alt 'I m m m'
_space_group_IT_number 71
_space_group_name_Hall '-I 2 2'
loop_
_atom_site_label
_atom_site_type_symbol
_atom_site_fract_x
_atom_site_fract_y
_atom_site_fract_z
Zn1 Zn 0.000 0.000 0.101
Ag1 Ag 0.000 0.000 0.305
Ag2 Ag 0.000 0.000 0.500
```

Calculated values
- Density of states at the Fermi level: 0.87 states/eV/f.u.
- Formation energy from the elements: -0.028 eV/atom

=====

# 4
Computed, not measured: a relaxed KCrSi crystal at the PBE-GGA level of DFT.

Structure (CIF):
```
data_KCrSi
_cell_length_a 2.9117
_cell_length_b 2.9117
_cell_length_c 7.7146
_cell_angle_alpha 90.00
_cell_angle_beta 90.00
_cell_angle_gamma 120.00
_space_group_name_H-M_alt 'P 3 m 1'
_space_group_IT_number 156
_space_group_name_Hall 'P 3 -2"'
loop_
_atom_site_label
_atom_site_type_symbol
_atom_site_fract_x
_atom_site_fract_y
_atom_site_fract_z
K1 K 0.0000 0.0000 0.0000
Cr1 Cr 0.3333 0.6667 0.6036
Si1 Si 0.6667 0.3333 0.3672
```

Calculated values
- Density of states at the Fermi level: 2.26 states/eV/f.u.
- Raw formation energy: 0.87 eV per atom